SrMg11Rh after structural relaxation, computed with PBE.

Computed properties:
Formation energy   -0.12 eV/atom

abc: 5.7063 14.4633 7.8258
angles: 90.00 110.17 90.00
Space group C2/m (No. 12)
One atom of each set of equivalent atoms:
Sr (0.0000, 0.0000, 0.0000)
Mg (0.0000, 0.0000, 0.5000)
Mg (0.0965, 0.3953, 0.2301)
Mg (0.1948, 0.1683, 0.3646)
Mg (0.2500, 0.2500, 0.0000)
Rh (0.0000, 0.5000, 0.5000)

SrMgTcRh2 after structural relaxation, computed with PBE.

Computed properties:
Formation energy   0.86 eV/atom

abc: 4.7568 4.7568 4.8295
angles: 90.00 90.00 90.00
Space group P4/mmm (No. 123)
One atom of each set of equivalent atoms:
Sr (0.0000, 0.0000, 0.0000)
Mg (0.5000, 0.5000, 0.5000)
Tc (0.5000, 0.5000, 0.0000)
Rh (0.0000, 0.5000, 0.5000)